1.
## Hf3Al2 (PBE)

Data for a relaxed Hf3Al2 crystal.

## Properties
Magnetic moment ... 0.00 μB per cell
D(E_F) ... 6.20 states/eV/f.u.
Energy ... -0.282 Ha/atom
E_form ... -217 meV per atom

```
5
Lattice="-2.1373 3.0214 3.9076 2.1373 -3.0214 3.9076 2.1373 3.0214 -3.9076" Properties=species:S:1:pos:R:3 pbc="T T T"
Hf 0.0000 0.0000 0.0000
Hf 2.1373 0.0000 2.3637
Hf 0.0000 3.0214 1.5439
Al 2.1373 1.7537 0.0000
Al 0.0000 1.2677 3.9076
```


2.
## HfAl6 (PBE)

Data for a relaxed HfAl6 crystal.

## Properties
Magnetic moment ... 0.00 μB per cell
D(E_F) ... 2.57 states/eV/f.u.
Energy ... -0.134 Ha/atom
E_form ... 979 meV per atom

```
7
Lattice="-3.5295 3.5295 3.5295 3.5295 -3.5295 3.5295 3.5295 3.5295 -3.5295" Properties=species:S:1:pos:R:3 pbc="T T T"
Hf 0.0000 0.0000 0.0000
Al 3.5295 1.7647 0.0000
Al 3.5295 0.0000 1.7647
Al 1.7647 3.5295 0.0000
Al 1.7647 0.0000 3.5295
Al 0.0000 3.5295 1.7647
Al 0.0000 1.7647 3.5295
```


3.
## HfAl (PBE)

Data for a relaxed HfAl crystal.

## Properties
Magnetic moment ... 0.00 μB per cell
D(E_F) ... 0.39 states/eV/f.u.
Energy ... -0.244 Ha/atom
E_form ... 203 meV per atom

```
2
Lattice="0.0000 2.7628 2.7628 2.7628 0.0000 2.7628 2.7628 2.7628 0.0000" Properties=species:S:1:pos:R:3 pbc="T T T"
Hf 0.0000 0.0000 0.0000
Al 2.7628 2.7628 2.7628
```